# 1
GGA-PBEsol TlNiGe2Pt, relaxed; magnetization = 0.000 μB per cell; energy of formation = 0.203 eV per atom
1.0
-0.2827 4.3425 -0.2870
-2.6475 0.0567 3.4651
3.9666 0.4580 3.0232
Tl Ge Ni Pt
1 2 1 1
direct
0.5000 0.5000 0.5000
0.0000 0.5000 0.0000
0.5000 0.0000 0.0000
0.0000 0.0000 0.0000
0.0000 0.0000 0.5000



# 2
GGA-PBEsol Nb3Cu2S6, relaxed; magnetization = 0.001 μB per cell; energy relative to the elements, uncorrected = -902.0 meV per atom
1.0
3.3382 0.0000 0.0000
-1.6691 2.8910 0.0000
0.0000 0.0000 38.7631
Nb S Cu
6 12 4
direct
0.6667 0.3333 0.7608
0.6667 0.3333 0.0880
0.3333 0.6667 0.2442
0.3333 0.6667 0.5697
0.6667 0.3333 0.4138
0.3333 0.6667 0.9182
0.6667 0.3333 0.6105
0.3333 0.6667 0.1273
0.3333 0.6667 0.4531
0.6667 0.3333 0.9597
0.3333 0.6667 0.8006
0.3333 0.6667 0.7199
0.3333 0.6667 0.3735
0.6667 0.3333 0.2855
0.6667 0.3333 0.2046
0.3333 0.6667 0.0477
0.6667 0.3333 0.5298
0.6667 0.3333 0.8787
0.3333 0.6667 0.9916
0.6667 0.3333 0.6860
0.3333 0.6667 0.6443
0.3333 0.6667 0.3174



# 3
GGA-PBEsol La2TeBr, relaxed; magnetization = 0.001 μB per cell; energy relative to the elements, uncorrected = -1445.1 meV per atom
1.0
-1.0918 -4.0892 -0.9346
4.1918 -1.0285 -0.3968
0.2254 -1.4830 6.2252
La Br Te
2 1 1
direct
0.0000 0.0000 0.9201
0.5000 0.5000 0.3192
0.5000 0.5000 0.8393
0.0000 0.0000 0.4214



# 4
GGA-PBEsol BaVSe2S, relaxed; magnetization = 1.570 μB per cell; energy relative to the elements, uncorrected = -1278.1 meV per atom
1.0
-0.3529 -5.0830 2.7079
6.1278 1.0226 2.7182
-5.5743 2.1454 3.3007
V Se Ba S
2 4 2 2
direct
0.7447 0.0053 0.0106
0.2553 0.0053 0.0106
0.0000 0.6632 0.8355
0.0000 0.1730 0.3460
0.5000 0.8268 0.6535
0.0000 0.1723 0.8355
0.5000 0.3338 0.6676
0.0000 0.6654 0.3308
0.5000 0.3197 0.1540
0.5000 0.8343 0.1540



# 5
GGA-PBEsol LiAg2, relaxed; magnetization = 0.000 μB per cell; energy of formation = -0.160 eV per atom
1.0
2.8048 0.0000 0.0000
0.0000 7.5964 0.0000
0.0000 -3.7982 6.5787
Ag Li
6 3
direct
0.0000 0.6906 0.6906
0.5000 0.0000 0.6444
0.0000 0.3094 0.0000
0.5000 0.3556 0.3556
0.5000 0.6444 0.0000
0.0000 0.0000 0.3094
0.5000 0.0000 0.0000
0.0000 0.3333 0.6667
0.0000 0.6667 0.3333



# 6
GGA-PBEsol Zn2IrRh, relaxed; magnetization = 0.000 μB per cell; energy of formation = -0.215 eV per atom
1.0
2.7588 0.0000 0.0000
1.3794 2.3892 0.0000
1.3794 0.7964 8.2503
Zn Ir Rh
2 1 1
direct
0.2509 0.2509 0.2474
0.7491 0.7491 0.7526
0.5000 0.5000 0.5000
0.0000 0.0000 0.0000



# 7
GGA-PBEsol LaBiB2As, relaxed; magnetization = 0.000 μB per cell; energy of formation = 1.373 eV per atom
1.0
4.5370 0.0000 0.0000
0.0000 4.5370 0.0000
0.0000 0.0000 6.4506
B Bi As La
2 1 1 1
direct
0.0000 0.5000 0.0000
0.5000 0.0000 0.0000
0.0000 0.0000 0.0000
0.5000 0.5000 0.5000
0.0000 0.0000 0.5000



# 8
GGA-PBEsol SnGe2BiRh, relaxed; magnetization = 0.000 μB per cell; energy of formation = 1.415 eV per atom
1.0
-0.6010 -4.3203 -2.4496
4.1172 -1.8133 2.1879
-3.1329 -1.9775 4.2564
Rh Bi Sn Ge
1 1 1 2
direct
0.5000 0.5000 0.5000
0.0000 0.0000 0.5000
0.0000 0.0000 0.0000
0.5000 0.0000 0.0000
0.0000 0.5000 0.0000



# 9
GGA-PBEsol SrInN2O, relaxed; magnetization = 5.000 μB per cell; energy relative to the elements, uncorrected = 1077.3 meV per atom
1.0
4.5092 0.0000 0.0000
0.0000 4.8931 0.0000
0.0000 0.0000 4.8931
N In Sr O
2 1 1 1
direct
0.0000 0.5000 0.0000
0.0000 0.0000 0.5000
0.5000 0.5000 0.5000
0.0000 0.0000 0.0000
0.5000 0.0000 0.0000



# 10
GGA-PBEsol ErAgSn, relaxed; magnetization = 0.000 μB per cell; energy of formation = -0.608 eV per atom
1.0
4.4135 0.0000 0.0000
0.0000 7.2199 0.0000
0.0000 -3.6099 6.2526
Ag Sn Er
3 3 3
direct
0.5000 0.2452 0.0000
0.5000 0.0000 0.2452
0.5000 0.7548 0.7548
0.5000 0.3333 0.6667
0.5000 0.6667 0.3333
0.0000 0.0000 0.0000
0.0000 0.4311 0.4311
0.0000 0.0000 0.5689
0.0000 0.5689 0.0000



# 11
GGA-PBEsol BaAl2Au, relaxed; magnetization = 0.000 μB per cell; energy of formation = -0.444 eV per atom
1.0
4.4225 0.0000 0.0000
2.2113 3.8300 0.0000
2.2113 1.2767 6.1066
Ba Al Au
1 2 1
direct
0.2445 0.2445 0.2666
0.7759 0.7759 0.6722
0.0454 0.0454 0.8639
0.4277 0.4277 0.7168



# 12
GGA-PBEsol NbBiSb2I, relaxed; magnetization = 2.606 μB per cell; energy relative to the elements, uncorrected = 1483.5 meV per atom
1.0
-4.5460 -1.5805 3.0636
-2.4114 -2.1653 -4.6953
2.4964 -5.1035 1.0715
Nb I Sb Bi
1 1 2 1
direct
0.5000 0.5000 0.5000
0.0000 0.0000 0.5000
0.5000 0.0000 0.0000
0.0000 0.5000 0.0000
0.0000 0.0000 0.0000



# 13
GGA-PBEsol ScHg2Ir, relaxed; magnetization = 0.000 μB per cell; energy of formation = -0.136 eV per atom
1.0
3.2104 0.0000 0.0000
1.6052 2.7803 0.0000
1.6052 0.9268 8.8024
Hg Ir Sc
2 1 1
direct
0.9973 0.9973 0.0081
0.7556 0.7556 0.7332
0.5066 0.5066 0.4802
0.2405 0.2405 0.2785



# 14
GGA-PBEsol Pt2Pb3, relaxed; magnetization = 0.000 μB per cell; energy of formation = -0.067 eV per atom
1.0
-1.5640 -4.1983 -1.0422
4.2310 1.2636 -1.2887
2.3606 -2.2545 5.5397
Pt Pb
2 3
direct
0.3333 0.6667 0.8041
0.6667 0.3333 0.1959
0.0000 0.0000 0.0000
0.3333 0.6667 0.3405
0.6667 0.3333 0.6595



# 15
GGA-PBEsol SrCa3W, relaxed; magnetization = 0.001 μB per cell; energy of formation = 0.834 eV per atom
1.0
-1.4411 -2.8834 -4.6769
2.2535 -4.7199 2.2155
-5.0109 -1.2934 2.3414
W Ca Sr
1 3 1
direct
0.0000 0.0000 0.0000
0.0000 0.0000 0.5000
0.5000 0.0000 0.0000
0.0000 0.5000 0.0000
0.5000 0.5000 0.5000



# 16
GGA-PBEsol TlRu3S, relaxed; magnetization = 0.000 μB per cell; energy relative to the elements, uncorrected = 442.3 meV per atom
1.0
-0.1705 3.0771 3.0247
0.2926 -3.0119 3.0805
4.3048 0.3266 -0.0896
Tl Ru S
1 3 1
direct
0.5000 0.5000 0.5000
0.5000 0.0000 0.0000
0.0000 0.5000 0.0000
0.0000 0.0000 0.5000
0.0000 0.0000 0.0000



# 17
GGA-PBEsol CaLa2Zn, relaxed; magnetization = 1.934 μB per cell; energy of formation = 0.133 eV per atom
1.0
-4.8468 2.4530 -0.0778
-3.6344 -1.2864 -3.8277
-4.4739 -2.7817 1.3273
La Zn Ca
2 1 1
direct
0.7500 0.7500 0.7500
0.0000 0.0000 0.0000
0.2500 0.2500 0.2500
0.5000 0.5000 0.5000



# 18
GGA-PBEsol BaYIr2, relaxed; magnetization = 0.001 μB per cell; energy of formation = 0.254 eV per atom
1.0
-0.0811 -4.1817 -0.6510
1.8343 -0.6215 3.7637
-5.1964 2.1637 0.5097
Ir Ba Y
2 1 1
direct
0.0000 0.0000 0.0000
0.7500 0.2500 0.5000
0.2500 0.7500 0.5000
0.5000 0.5000 0.0000



# 19
GGA-PBEsol MgPb3, relaxed; magnetization = 0.000 μB per cell; energy of formation = -0.023 eV per atom
1.0
-2.5008 -1.7196 3.7388
-2.3241 -3.0204 -2.9438
3.3963 -3.3332 0.7386
Pb Mg
3 1
direct
0.0000 0.5000 0.5000
0.5000 0.0000 0.5000
0.5000 0.5000 0.0000
0.0000 0.0000 0.0000



# 20
GGA-PBEsol Y3Rh, relaxed; magnetization = 0.000 μB per cell; energy of formation = -0.411 eV per atom
1.0
-3.3925 -0.0250 1.1660
1.0142 -4.2778 2.8591
2.5789 5.2275 2.0969
Y Rh
3 1
direct
0.5000 0.0000 0.0000
0.3017 0.3017 0.6034
0.6983 0.6983 0.3966
0.0000 0.5000 0.0000



# 21
GGA-PBEsol CrPbC3, relaxed; magnetization = 0.000 μB per cell; energy of formation = 1.646 eV per atom
1.0
3.9118 0.0000 0.0000
0.0000 3.9118 0.0000
0.0000 0.0000 3.9118
C Pb Cr
3 1 1
direct
0.0000 0.0000 0.5000
0.0000 0.5000 0.0000
0.5000 0.0000 0.0000
0.5000 0.5000 0.5000
0.0000 0.0000 0.0000



# 22
GGA-PBEsol SrTeAsI2, relaxed; magnetization = 2.397 μB per cell; energy relative to the elements, uncorrected = 127.8 meV per atom
1.0
6.2144 0.0000 0.0000
0.0000 6.0379 0.0000
0.0000 0.0000 6.0379
Te Sr I As
1 1 2 1
direct
0.0000 0.0000 0.0000
0.5000 0.0000 0.0000
0.0000 0.0000 0.5000
0.0000 0.5000 0.0000
0.5000 0.5000 0.5000



# 23
GGA-PBEsol YScNb2, relaxed; magnetization = 0.001 μB per cell; energy of formation = 0.467 eV per atom
1.0
4.8963 0.0000 0.0000
2.4482 4.2404 0.0000
2.4482 1.4135 3.9978
Sc Nb Y
1 2 1
direct
0.0000 0.0000 0.0000
0.2500 0.2500 0.2500
0.7500 0.7500 0.7500
0.5000 0.5000 0.5000



# 24
GGA-PBEsol KMo2Au, relaxed; magnetization = 0.000 μB per cell; energy of formation = 1.072 eV per atom
1.0
-2.0309 1.1790 -1.1430
-0.7040 -4.9230 -1.8169
-1.6866 0.7378 5.7367
Au Mo K
1 2 1
direct
0.5000 0.0000 0.0000
0.0000 0.0000 0.5000
0.5000 0.5000 0.5000
0.0000 0.5000 0.0000



# 25
GGA-PBEsol LaNiAu, relaxed; magnetization = 0.000 μB per cell; energy of formation = -0.502 eV per atom
1.0
-2.0599 2.1974 -2.3992
-3.0470 0.5118 3.0849
3.3242 2.8174 -0.2738
La Au Ni
1 1 1
direct
0.6669 0.6667 0.3333
0.1668 0.0000 0.0000
0.1663 0.3333 0.6667



# 26
GGA-PBEsol PtAuBr2, relaxed; magnetization = 0.000 μB per cell; energy relative to the elements, uncorrected = 371.8 meV per atom
1.0
2.9418 0.0000 0.0000
1.4709 2.5477 0.0000
1.4709 0.8492 11.0028
Au Pt Br
1 1 2
direct
0.5000 0.5000 0.5000
0.0000 0.0000 0.0000
0.0723 0.0723 0.7831
0.9277 0.9277 0.2169